Version w
10
Lattice="0.0000 4.1492 4.1492 4.1492 0.0000 4.1492 4.1492 4.1492 0.0000" Properties=species:S:1:pos:R:3 comment="Li2NiAgF6 | the Alexandria database | PBE with a Hubbard U | relaxed" m_tot_mub_per_cell=1.0 crystal_system=cubic pbc="T T T"
Li 2.0746 2.0746 2.0746
Li 6.2238 6.2238 6.2238
Ni 0.0000 0.0000 0.0000
Ag 4.1492 4.1492 4.1492
F 4.1492 4.1492 1.9561
F 4.1492 1.9561 4.1492
F 6.3423 4.1492 4.1492
F 1.9561 4.1492 4.1492
F 4.1492 6.3423 4.1492
F 4.1492 4.1492 6.3423

=====

Version x
10
Lattice="5.1628 0.0000 0.0000 2.5648 4.7240 0.0000 0.0128 2.5987 4.8335" Properties=species:S:1:pos:R:3 comment="Li2NiAgF6 | the Alexandria database | PBE with a Hubbard U | relaxed" m_tot_mub_per_cell=2.9 crystal_system=triclinic pbc="T T T"
Li 0.0000 0.0000 0.0000
Li 4.9775 5.9757 2.5129
Ni 2.4845 4.2237 3.0268
Ag 5.0844 2.9435 0.6849
F 3.3121 5.5214 1.7190
F 1.6671 2.5989 3.8713
F 3.2491 2.8127 1.7692
F 4.2161 4.1516 4.1179
F 6.0438 4.4805 1.7943
F 6.7884 5.7121 4.1471

=====

Least stable of them? version w.